The following is a DFT calculation (GGA+U) of Na3Cr3IO8 after structural relaxation.

Cell: 6.332 6.333 6.545 Å, 118.98 89.94 120.02°
Each line ends with the local moment (μB).
Fractional positions:
O  0.711  0.950  0.689  0.02
Cr  0.500  0.500  0.500  3.09
Na  0.000  0.000  0.000  0.00
O  0.239  0.478  0.689  0.02
Cr  0.500  0.000  0.500  3.09
Na  0.500  0.500  0.000  0.00
O  0.239  0.950  0.689  0.02
O  0.289  0.050  0.311  0.02
O  0.267  0.534  0.302  -0.06
I  0.000  0.000  0.500  0.29
Na  0.000  0.500  0.000  0.00
O  0.761  0.050  0.311  0.02
Cr  0.000  0.500  0.500  3.09
O  0.761  0.522  0.311  0.02
O  0.733  0.466  0.698  -0.06

Summary:
**Final energy**: -5.95 eV/atom